Material: WF
Method: DFT, GGA+U
State: relaxed

total moment = 2.37 μB/f.u.
energy = -32.67 eV/cell
density of states at the Fermi level = 4.763 states/eV/cell
excess energy over the best structure of this formula in the dataset = 1.3633 eV per atom

Lattice parameters (Å, degrees): 5.028 5.028 5.028 90.00 90.00 90.00
Space group Fm-3m (No. 225)
Inequivalent atoms, fractional coordinates:
W (0.000, 0.000, 0.000) x4
F (0.000, 0.000, 0.500) x4